A relaxed Ho5ThAl6 crystal. Source: Alexandria via LeMat-Bulk, functional PBE-GGA.

Properties
Symmetry: No. 71
Energy relative to the elements: -4.30 eV per formula unit
D(E_F): 0.45 states/eV per atom
Calculated total energy: -57.068 eV for the cell shown

Cell: 5.101 7.234 8.843 Å, 114.14 106.76 90.00°
Positions (direct):
Ho (0.660, 0.160, 0.321)
Ho (0.329, 0.329, 0.658)
Ho (0.000, 0.500, 0.000)
Ho (0.671, 0.671, 0.342)
Ho (0.340, 0.840, 0.679)
Th (0.000, 0.000, 0.000)
Al (0.829, 0.569, 0.659)
Al (0.829, 0.089, 0.659)
Al (0.500, 0.731, 0.000)
Al (0.500, 0.269, 0.000)
Al (0.171, 0.911, 0.341)
Al (0.171, 0.431, 0.341)

***

A relaxed Li6Ac2Si3 crystal. Source: Alexandria via LeMat-Bulk, functional PBE-GGA.

Properties
Symmetry: No. 189
E_form (uncorrected): -253.0 meV/atom
D(E_F): 0.56 states/eV per atom
Calculated total energy: -38.752 eV for the cell shown

Cell: 4.286 8.149 8.149 Å, 120.00 90.00 90.00°
Positions (direct):
Li (0.500, 0.711, 0.711)
Li (0.500, 0.000, 0.289)
Li (0.000, 0.206, 0.206)
Li (0.000, 0.794, 0.000)
Li (0.500, 0.289, 0.000)
Li (0.000, 0.000, 0.794)
Ac (0.000, 0.667, 0.333)
Ac (0.000, 0.333, 0.667)
Si (0.500, 0.371, 0.371)
Si (0.500, 0.629, 0.000)
Si (0.500, 0.000, 0.629)

***

A relaxed Nb2PbO6 crystal. Source: Alexandria via LeMat-Bulk, functional PBE-GGA.

Properties
Symmetry: No. 14
E_form (uncorrected): -2093.4 meV/atom
D(E_F): 0.00 states/eV per atom
Calculated total energy: -144.876 eV for the cell shown
Energy relative to the lowest polymorph listed for this composition: 0.2040 eV/atom

Cell: 4.735 5.209 11.285 Å, 90.00 96.28 90.00°
Positions (direct):
Nb (0.431, 0.960, 0.751)
Nb (0.069, 0.460, 0.749)
Nb (0.931, 0.540, 0.251)
Nb (0.569, 0.040, 0.249)
Pb (0.500, 0.500, 0.500)
Pb (0.000, 0.000, 0.000)
O (0.253, 0.214, 0.637)
O (0.191, 0.715, 0.634)
O (0.795, 0.129, 0.769)
O (0.705, 0.629, 0.731)
O (0.309, 0.215, 0.866)
O (0.247, 0.714, 0.863)
O (0.753, 0.286, 0.137)
O (0.691, 0.785, 0.134)
O (0.295, 0.371, 0.269)
O (0.205, 0.871, 0.231)
O (0.809, 0.285, 0.366)
O (0.747, 0.786, 0.363)

***

Question: Look up the D(E_F) of the second one.
Answer: 0.56 states/eV per atom

***

Question: Number 1 is which compound?
Answer: Ho5ThAl6

***

Copy entry 3 word for word.
A relaxed Nb2PbO6 crystal. Source: Alexandria via LeMat-Bulk, functional PBE-GGA.

Properties
Symmetry: No. 14
E_form (uncorrected): -2093.4 meV/atom
D(E_F): 0.00 states/eV per atom
Calculated total energy: -144.876 eV for the cell shown
Energy relative to the lowest polymorph listed for this composition: 0.2040 eV/atom

Cell: 4.735 5.209 11.285 Å, 90.00 96.28 90.00°
Positions (direct):
Nb (0.431, 0.960, 0.751)
Nb (0.069, 0.460, 0.749)
Nb (0.931, 0.540, 0.251)
Nb (0.569, 0.040, 0.249)
Pb (0.500, 0.500, 0.500)
Pb (0.000, 0.000, 0.000)
O (0.253, 0.214, 0.637)
O (0.191, 0.715, 0.634)
O (0.795, 0.129, 0.769)
O (0.705, 0.629, 0.731)
O (0.309, 0.215, 0.866)
O (0.247, 0.714, 0.863)
O (0.753, 0.286, 0.137)
O (0.691, 0.785, 0.134)
O (0.295, 0.371, 0.269)
O (0.205, 0.871, 0.231)
O (0.809, 0.285, 0.366)
O (0.747, 0.786, 0.363)

***

Question: The lowest calculated total energy belongs to which entry?
Answer: Nb2PbO6